Entry from Alexandria: a geometry-optimized Y2TcB2 structure (PBE).

Summary:
Magnetic moment (μB/cell): 1.496
ΔE to the lowest computed polymorph (eV/atom): 0.925
VASP energy (Ha/atom): -0.2361
N(E_F) (states/eV/atom): 1.058

a = 7.4604 Å, b = 7.4604 Å, c = 3.0604 Å
α = 90.00°, β = 90.00°, γ = 90.00°
Last column: nearest neighbours and their distance in Å.
Positions (direct):
Y: 0.3603 0.8603 0.0000  6 B 2.55-2.76
Y: 0.8603 0.6397 0.0000  6 B 2.55-2.76
Y: 0.6397 0.1397 0.0000  6 B 2.55-2.76
Y: 0.1397 0.3603 0.0000  6 B 2.55-2.76
B: 0.1665 0.6665 0.5000  6 Y 2.55-2.76
B: 0.6665 0.8335 0.5000  6 Y 2.55-2.76
B: 0.8335 0.3335 0.5000  6 Y 2.55-2.76
B: 0.3335 0.1665 0.5000  6 Y 2.55-2.76
Tc: 0.0000 0.0000 0.0000  4 Y 2.88, 2 Tc 3.06, 8 B 3.17
Tc: 0.5000 0.5000 0.0000  4 Y 2.88, 2 Tc 3.06, 8 B 3.17

=====

Entry from Alexandria: a geometry-optimized Y2TcB10 structure (PBE).

Summary:
Magnetic moment (μB/cell): 0.000
VASP energy (Ha/atom): -0.2693
N(E_F) (states/eV/atom): 0.341

a = 4.1653 Å, b = 5.7491 Å, c = 11.4269 Å
α = 90.00°, β = 90.00°, γ = 90.00°
Last column: nearest neighbours and their distance in Å.
Positions (direct):
Y: 0.5000 0.2780 0.8677  20 B 2.93-3.05, 2 Tc 3.03
Y: 0.5000 0.7220 0.1323  20 B 2.93-3.05, 2 Tc 3.03
Y: 0.5000 0.7780 0.6323  20 B 2.93-3.05, 2 Tc 3.03
Y: 0.5000 0.2220 0.3677  20 B 2.93-3.05, 2 Tc 3.03
Tc: 0.0000 0.5000 0.5000  8 B 2.24-2.26
Tc: 0.0000 0.0000 0.0000  8 B 2.24-2.26
B: 0.0000 0.1197 0.5411  4 B 1.67-1.79
B: 0.0000 0.8803 0.4589  4 B 1.67-1.79
B: 0.0000 0.6197 0.9589  4 B 1.67-1.79
B: 0.0000 0.3803 0.0411  4 B 1.67-1.79
B: 0.0000 0.1284 0.6976  5 B 1.66-1.79
B: 0.0000 0.8716 0.3024  5 B 1.66-1.79
B: 0.3001 0.2270 0.1192  4 B 1.67-1.78
B: 0.3001 0.7730 0.8808  4 B 1.67-1.78
B: 0.6999 0.7270 0.3808  4 B 1.67-1.78
B: 0.6999 0.2730 0.6192  4 B 1.67-1.78
B: 0.6999 0.7730 0.8808  4 B 1.67-1.78
B: 0.6999 0.2270 0.1192  4 B 1.67-1.78
B: 0.3001 0.2730 0.6192  4 B 1.67-1.78
B: 0.3001 0.7270 0.3808  4 B 1.67-1.78
B: 0.0000 0.0627 0.1931  4 B 1.66-1.78
B: 0.0000 0.9373 0.8069  4 B 1.66-1.78
B: 0.0000 0.5627 0.3069  4 B 1.66-1.78
B: 0.0000 0.4373 0.6931  4 B 1.66-1.78
B: 0.0000 0.3716 0.1976  5 B 1.66-1.79
B: 0.0000 0.6284 0.8024  5 B 1.66-1.79